TaNi3 | PBE | optimized geometry

Cell lengths 2.7107, 2.7107, 8.2269 Å; angles 90.00, 90.00, 120.00 degrees
With the nearest neighbours (Å) after each atom.
Space group P-6m2 (No. 187)
Inequivalent atoms, fractional coordinates:
Ta1 0.0000 0.0000 0.0000  6 Ni 2.66, 6 Ta 2.71
Ni1 0.0000 0.0000 0.5000  12 Ni 2.51-2.71
Ni2 0.6667 0.3333 0.2621  9 Ni 2.51-2.71, 3 Ta 2.66

Values from the calculation:
Energy of formation (eV/atom): 0.12
M_tot (μB/f.u.): 0.8
Total DFT energy (no corrections) (eV per atom): -7.175

---

Ta3Ni | PBE | optimized geometry

Cell lengths 2.7984, 4.5648, 5.2803 Å; angles 90.00, 99.95, 90.00 degrees
With the nearest neighbours (Å) after each atom.
Space group P2/m (No. 10)
Inequivalent atoms, fractional coordinates:
Ta1 0.0000 0.0000 0.0000  2 Ni 2.77, 6 Ta 2.80
Ta2 0.2654 0.5000 0.7492  6 Ta 2.75-2.80, 2 Ni 2.77
Ni1 0.5000 0.0000 0.5000  6 Ta 2.77, 2 Ni 2.80

Values from the calculation:
Energy of formation (eV/atom): 0.07
M_tot (μB/f.u.): 0.0
Total DFT energy (no corrections) (eV per atom): -10.266

---

TaNi5 | PBE | optimized geometry

Cell lengths 2.6704, 2.6704, 10.2114 Å; angles 90.00, 90.00, 90.00 degrees
With the nearest neighbours (Å) after each atom.
Space group P4/mmm (No. 123)
Inequivalent atoms, fractional coordinates:
Ta1 0.0000 0.0000 0.0000  4 Ta 2.67, 8 Ni 2.69
Ni1 0.0000 0.0000 0.3467  12 Ni 2.45-2.67
Ni2 0.5000 0.5000 0.1870  8 Ni 2.50-2.67, 4 Ta 2.69
Ni3 0.5000 0.5000 0.5000  12 Ni 2.45-2.67

Values from the calculation:
Energy of formation (eV/atom): -0.01
M_tot (μB/f.u.): 2.1
Total DFT energy (no corrections) (eV per atom): -6.801